Record 1
Compound: NiMoCl2
Source: the Alexandria database
Functional: GGA-PBE
Structure: optimized geometry

For the uncorrected formation energy, the calculation gives -0.032 eV per atom. As for the distance to the lowest polymorph of the same formula: 0.82 eV per formula unit. The value obtained for the density of states at the Fermi level is 2.0 states/eV per cell.

Cell: 3.534 3.534 8.725 Å, 95.53 95.53 50.45°
Positions (direct):
Ni  0.291  0.291  0.266
Mo  0.602  0.602  0.435
Cl  0.974  0.974  0.108
Cl  0.633  0.633  0.691

=====

Record 2
Compound: NiMoCl2
Source: the Alexandria database
Functional: GGA-PBE
Structure: optimized geometry

For the uncorrected formation energy, the calculation gives 0.596 eV per atom. As for the distance to the lowest polymorph of the same formula: 3.33 eV per formula unit. The value obtained for the density of states at the Fermi level is 3.7 states/eV per cell.

Cell: 3.101 3.101 6.001 Å, 90.00 90.00 90.00°
Positions (direct):
Ni  0.500  0.500  0.750
Mo  0.500  0.500  0.250
Cl  0.000  0.000  0.003
Cl  0.000  0.000  0.497

=====

Record 3
Compound: Ni4MoCl
Source: the Alexandria database
Functional: GGA-PBE
Structure: optimized geometry

For the uncorrected formation energy, the calculation gives 0.510 eV per atom. The value obtained for the density of states at the Fermi level is 6.6 states/eV per cell.

Cell: 4.781 4.781 4.781 Å, 60.00 60.00 60.00°
Positions (direct):
Ni  0.877  0.374  0.374
Ni  0.374  0.374  0.877
Ni  0.374  0.877  0.374
Ni  0.374  0.374  0.374
Mo  0.000  0.000  0.000
Cl  0.750  0.750  0.750

=====

Record 4
Compound: NiMoCl2
Source: the Alexandria database
Functional: GGA-PBE
Structure: optimized geometry

For the uncorrected formation energy, the calculation gives 0.362 eV per atom. As for the distance to the lowest polymorph of the same formula: 2.39 eV per formula unit. The value obtained for the density of states at the Fermi level is 4.2 states/eV per cell.

Cell: 6.321 6.321 6.321 Å, 153.20 139.89 48.90°
Positions (direct):
Ni  0.329  0.829  0.500
Mo  0.506  0.506  0.000
Cl  0.974  0.974  0.000
Cl  0.690  0.190  0.500

=====

Record 5
Compound: NiMoCl2
Source: the Alexandria database
Functional: GGA-PBE
Structure: optimized geometry

For the uncorrected formation energy, the calculation gives 0.518 eV per atom. As for the distance to the lowest polymorph of the same formula: 3.02 eV per formula unit. The value obtained for the density of states at the Fermi level is 4.2 states/eV per cell.

Cell: 2.943 5.498 4.020 Å, 90.00 90.00 90.00°
Positions (direct):
Ni  0.000  0.500  0.500
Mo  0.500  0.000  0.500
Cl  0.000  0.000  0.000
Cl  0.500  0.500  0.000

=====

Record 6
Compound: NiMoCl3
Source: the Alexandria database
Functional: GGA-PBE
Structure: optimized geometry

For the uncorrected formation energy, the calculation gives 0.355 eV per atom. As for the distance to the lowest polymorph of the same formula: 0.24 eV per formula unit. The value obtained for the density of states at the Fermi level is 31.4 states/eV per cell.

Cell: 4.970 4.970 4.970 Å, 90.00 90.00 90.00°
Positions (direct):
Ni  0.500  0.500  0.500
Mo  0.000  0.000  0.000
Cl  0.000  0.500  0.000
Cl  0.000  0.000  0.500
Cl  0.500  0.000  0.000

=====

Record 7
Compound: NiMoCl2
Source: the Alexandria database
Functional: GGA-PBE
Structure: optimized geometry

For the uncorrected formation energy, the calculation gives -0.002 eV per atom. As for the distance to the lowest polymorph of the same formula: 0.94 eV per formula unit. The value obtained for the density of states at the Fermi level is 4.0 states/eV per cell.

Cell: 7.296 7.296 7.296 Å, 156.71 146.09 41.55°
Positions (direct):
Ni  0.250  0.750  0.500
Mo  0.750  0.250  0.500
Cl  0.893  0.893  0.000
Cl  0.607  0.607  0.000

=====

Record 8
Compound: NiMoCl2
Source: the Alexandria database
Functional: GGA-PBE
Structure: optimized geometry

For the uncorrected formation energy, the calculation gives 0.627 eV per atom. As for the distance to the lowest polymorph of the same formula: 3.45 eV per formula unit. The value obtained for the density of states at the Fermi level is 3.7 states/eV per cell.

Cell: 4.338 4.338 4.338 Å, 60.00 60.00 60.00°
Positions (direct):
Ni  0.000  0.000  0.000
Mo  0.500  0.500  0.500
Cl  0.250  0.250  0.250
Cl  0.750  0.750  0.750

=====

What did the fourth record say?
Compound: NiMoCl2
Source: the Alexandria database
Functional: GGA-PBE
Structure: optimized geometry

For the uncorrected formation energy, the calculation gives 0.362 eV per atom. As for the distance to the lowest polymorph of the same formula: 2.39 eV per formula unit. The value obtained for the density of states at the Fermi level is 4.2 states/eV per cell.

Cell: 6.321 6.321 6.321 Å, 153.20 139.89 48.90°
Positions (direct):
Ni  0.329  0.829  0.500
Mo  0.506  0.506  0.000
Cl  0.974  0.974  0.000
Cl  0.690  0.190  0.500

=====

What is the formula in the third record?
Ni4MoCl